Record 1
Material: Be3Pd
Method: DFT, PBE
State: optimized geometry

Cell: 3.836 3.836 3.836 Å, 60.00 60.00 60.00°
Sites, in units of the cell vectors:
Be (0.000, 0.000, 0.000)
Be (0.250, 0.250, 0.250)
Be (0.750, 0.750, 0.750)
Pd (0.500, 0.500, 0.500)

Results
energy relative to the elements	-0.25	eV/atom
DOS at the Fermi energy	1.8	states/eV/cell
density	5553	kg/m³
total moment	0.00	μB/f.u.
E	-4.3389	eV per atom



Record 2
Material: MnSiPd2
Method: DFT, PBE
State: optimized geometry

Cell: 3.683 3.938 3.938 Å, 90.00 90.00 90.00°
Sites, in units of the cell vectors:
Si (0.500, 0.000, 0.000)
Mn (0.500, 0.500, 0.500)
Pd (0.000, 0.500, 0.000)
Pd (0.000, 0.000, 0.500)

Results
DOS at the Fermi energy	2.9	states/eV/cell
density	8603	kg/m³
total moment	3.63	μB/f.u.
formation energy from raw total energies	-0.322	eV per atom
E	-6.5663	eV per atom



Record 3
Material: Cs2PrPbO4
Method: DFT, PBE
State: optimized geometry

Cell: 6.590 6.593 6.714 Å, 119.46 119.45 89.90°
Sites, in units of the cell vectors:
O (0.862, 0.464, 0.225)
O (0.008, 0.110, 0.718)
O (0.711, 0.609, 0.718)
O (0.362, 0.760, 0.225)
Pb (0.736, 0.736, 0.472)
Pr (0.986, 0.486, 0.972)
Cs (0.486, 0.986, 0.973)
Cs (0.236, 0.236, 0.472)

Results
DOS at the Fermi energy	2.4	states/eV/cell
density	5366	kg/m³
total moment	0.88	μB/f.u.
formation energy from raw total energies	-1.742	eV per atom
E	-5.4951	eV per atom



Record 4
Material: Pr12ErTm7
Method: DFT, PBE
State: optimized geometry

Cell: 8.872 8.872 8.872 Å, 93.54 93.54 93.54°
Sites, in units of the cell vectors:
Pr (0.749, 0.315, 0.178)
Pr (0.479, 0.147, 0.409)
Pr (0.591, 0.521, 0.853)
Pr (0.147, 0.409, 0.479)
Pr (0.315, 0.178, 0.749)
Pr (0.178, 0.749, 0.315)
Pr (0.853, 0.591, 0.521)
Pr (0.409, 0.479, 0.147)
Pr (0.521, 0.853, 0.591)
Pr (0.251, 0.685, 0.822)
Pr (0.685, 0.822, 0.251)
Pr (0.822, 0.251, 0.685)
Tm (0.655, 0.978, 0.917)
Tm (0.978, 0.917, 0.655)
Tm (0.917, 0.655, 0.978)
Tm (0.083, 0.345, 0.022)
Tm (0.345, 0.022, 0.083)
Tm (0.022, 0.083, 0.345)
Tm (0.500, 0.500, 0.500)
Er (0.000, 0.000, 0.000)

Results
energy relative to the elements	0.27	eV/atom
energy above the lowest structure with this stoichiometry	51	meV/atom
DOS at the Fermi energy	27.1	states/eV/cell
density	7274	kg/m³
total moment	0.00	μB/f.u.
E	-4.3877	eV per atom



Record 5
Material: RbSc2S
Method: DFT, PBE
State: optimized geometry

Cell: 6.619 6.619 8.800 Å, 67.91 67.91 90.00°
Sites, in units of the cell vectors:
S (0.250, 0.750, 0.500)
S (0.500, 0.500, 0.000)
Rb (0.750, 0.250, 0.500)
Rb (0.000, 0.000, 0.000)
Sc (0.875, 0.625, 0.750)
Sc (0.375, 0.125, 0.250)
Sc (0.375, 0.625, 0.250)
Sc (0.375, 0.625, 0.750)

Results
DOS at the Fermi energy	10.1	states/eV/cell
density	2110	kg/m³
total moment	0.93	μB/f.u.
formation energy from raw total energies	-0.145	eV per atom
E	-4.5841	eV per atom



Record 6
Material: BeVNi3
Method: DFT, PBE
State: optimized geometry

Cell: 4.232 4.232 4.232 Å, 90.00 90.00 90.00°
Sites, in units of the cell vectors:
Ni (0.000, 0.500, 0.000)
Ni (0.000, 0.000, 0.500)
Ni (0.500, 0.000, 0.000)
V (0.000, 0.000, 0.000)
Be (0.500, 0.500, 0.500)

Results
energy relative to the elements	1.24	eV/atom
energy above the lowest structure with this stoichiometry	993	meV/atom
DOS at the Fermi energy	4.6	states/eV/cell
density	5171	kg/m³
total moment	0.01	μB/f.u.
E	-4.7965	eV per atom



Record 7
Material: Dy3PaSe6
Method: DFT, PBE
State: optimized geometry

Cell: 4.063 11.542 11.834 Å, 108.24 90.00 90.00°
Sites, in units of the cell vectors:
Dy (0.750, 0.679, 0.501)
Dy (0.250, 0.573, 0.165)
Dy (0.250, 0.321, 0.499)
Dy (0.750, 0.427, 0.835)
Dy (0.750, 0.158, 0.079)
Dy (0.250, 0.842, 0.921)
Pa (0.250, 0.954, 0.303)
Pa (0.750, 0.046, 0.697)
Se (0.750, 0.397, 0.067)
Se (0.750, 0.113, 0.465)
Se (0.250, 0.192, 0.252)
Se (0.750, 0.749, 0.278)
Se (0.250, 0.518, 0.382)
Se (0.750, 0.917, 0.100)
Se (0.250, 0.603, 0.933)
Se (0.250, 0.083, 0.900)
Se (0.750, 0.482, 0.618)
Se (0.250, 0.887, 0.535)
Se (0.750, 0.808, 0.748)
Se (0.250, 0.251, 0.722)

Results
energy above the lowest structure with this stoichiometry	0	meV/atom
DOS at the Fermi energy	11.2	states/eV/cell
density	7512	kg/m³
total moment	1.49	μB/f.u.
formation energy from raw total energies	-1.722	eV per atom
E	-6.1424	eV per atom



Record 8
Material: CaBe3
Method: DFT, PBE
State: optimized geometry

Cell: 5.489 3.740 3.732 Å, 120.06 109.95 90.19°
Sites, in units of the cell vectors:
Be (0.048, 0.183, 0.866)
Be (0.952, 0.817, 0.134)
Be (0.000, 0.500, 0.500)
Ca (0.500, 0.000, 0.500)

Results
energy relative to the elements	0.06	eV/atom
energy above the lowest structure with this stoichiometry	0	meV/atom
DOS at the Fermi energy	1.4	states/eV/cell
density	1830	kg/m³
total moment	0.00	μB/f.u.
E	-3.2334	eV per atom



Record 9
Material: CdAg2Cl
Method: DFT, PBE
State: optimized geometry

Cell: 7.608 7.608 6.176 Å, 51.98 51.98 90.00°
Sites, in units of the cell vectors:
Ag (0.135, 0.625, 0.250)
Ag (0.615, 0.125, 0.250)
Ag (0.875, 0.865, 0.750)
Ag (0.375, 0.385, 0.750)
Cd (0.750, 0.250, 0.500)
Cd (0.000, 0.000, 0.000)
Cl (0.250, 0.750, 0.500)
Cl (0.500, 0.500, 0.000)

Results
energy above the lowest structure with this stoichiometry	163	meV/atom
DOS at the Fermi energy	1.6	states/eV/cell
density	6877	kg/m³
total moment	0.00	μB/f.u.
formation energy from raw total energies	0.000	eV per atom
E	-2.1157	eV per atom



Record 10
Material: LaZnAs2
Method: DFT, PBE
State: optimized geometry

Cell: 6.581 6.581 6.581 Å, 37.80 37.80 37.80°
Sites, in units of the cell vectors:
La (0.492, 0.492, 0.492)
As (0.265, 0.265, 0.265)
As (0.071, 0.071, 0.071)
Zn (0.672, 0.672, 0.672)

Results
energy relative to the elements	-0.54	eV/atom
DOS at the Fermi energy	2.1	states/eV/cell
density	6120	kg/m³
total moment	0.00	μB/f.u.
E	-4.4180	eV per atom



Record 11
Material: In3GeI6
Method: DFT, PBE
State: optimized geometry

Cell: 8.313 10.878 10.878 Å, 107.41 90.00 90.00°
Sites, in units of the cell vectors:
In (0.492, 0.907, 0.717)
In (0.992, 0.717, 0.907)
In (0.492, 0.283, 0.093)
In (0.952, 0.594, 0.406)
In (0.992, 0.093, 0.283)
In (0.452, 0.406, 0.594)
I (0.025, 0.043, 0.957)
I (0.525, 0.957, 0.043)
I (0.723, 0.656, 0.681)
I (0.211, 0.745, 0.255)
I (0.174, 0.428, 0.912)
I (0.674, 0.572, 0.088)
I (0.674, 0.912, 0.428)
I (0.711, 0.255, 0.745)
I (0.223, 0.344, 0.319)
I (0.723, 0.319, 0.344)
I (0.174, 0.088, 0.572)
I (0.223, 0.681, 0.656)
Ge (0.518, 0.798, 0.202)
Ge (0.018, 0.202, 0.798)

Results
DOS at the Fermi energy	12.7	states/eV/cell
density	4170	kg/m³
total moment	0.00	μB/f.u.
formation energy from raw total energies	-0.327	eV per atom
E	-2.5404	eV per atom



Record 12
Material: LaNdSe2
Method: DFT, PBE
State: optimized geometry

Cell: 4.142 4.142 7.606 Å, 90.00 90.00 120.00°
Sites, in units of the cell vectors:
Se (0.667, 0.833, 0.756)
Se (0.333, 0.167, 0.244)
La (0.000, 0.500, 0.500)
Nd (0.000, 0.500, 0.000)

Results
energy above the lowest structure with this stoichiometry	122	meV/atom
DOS at the Fermi energy	2.2	states/eV/cell
density	6481	kg/m³
total moment	0.00	μB/f.u.
formation energy from raw total energies	-1.804	eV per atom
E	-5.9702	eV per atom



Record 13
Material: TlHg11Au5
Method: DFT, PBE
State: optimized geometry

Cell: 6.612 8.093 8.093 Å, 102.64 94.08 94.08°
Sites, in units of the cell vectors:
Tl (0.000, 0.000, 0.000)
Hg (0.136, 0.423, 0.169)
Hg (0.500, 0.000, 0.000)
Hg (0.136, 0.169, 0.423)
Hg (0.569, 0.362, 0.362)
Hg (0.711, 0.668, 0.185)
Hg (0.289, 0.815, 0.332)
Hg (0.711, 0.185, 0.668)
Hg (0.431, 0.638, 0.638)
Hg (0.864, 0.831, 0.577)
Hg (0.289, 0.332, 0.815)
Hg (0.864, 0.577, 0.831)
Au (0.292, 0.677, 0.981)
Au (0.708, 0.323, 0.019)
Au (0.000, 0.500, 0.500)
Au (0.292, 0.981, 0.677)
Au (0.708, 0.019, 0.323)

Results
energy relative to the elements	0.07	eV/atom
DOS at the Fermi energy	5.0	states/eV/cell
density	13431	kg/m³
total moment	0.00	μB/f.u.
E	-1.2305	eV per atom



Record 14
Material: SrMg2Ag
Method: DFT, PBE
State: optimized geometry

Cell: 4.434 4.819 5.176 Å, 90.00 90.00 90.00°
Sites, in units of the cell vectors:
Mg (0.500, 0.500, 0.000)
Mg (0.000, 0.000, 0.000)
Sr (0.500, 0.000, 0.500)
Ag (0.000, 0.500, 0.500)

Results
energy relative to the elements	-0.03	eV/atom
DOS at the Fermi energy	2.0	states/eV/cell
density	3665	kg/m³
total moment	0.00	μB/f.u.
E	-1.9604	eV per atom



Record 15
Material: K2Na6HgAu
Method: DFT, PBE
State: optimized geometry

Cell: 8.326 8.326 8.326 Å, 60.00 60.00 90.00°
Sites, in units of the cell vectors:
K (0.250, 0.750, 0.500)
K (0.750, 0.250, 0.500)
Na (0.745, 0.745, 0.510)
Na (0.255, 0.745, 0.000)
Na (0.745, 0.745, 0.000)
Na (0.255, 0.255, 0.000)
Na (0.745, 0.255, 0.000)
Na (0.255, 0.255, 0.490)
Hg (0.000, 0.000, 0.000)
Au (0.500, 0.500, 0.000)

Results
energy relative to the elements	-0.10	eV/atom
DOS at the Fermi energy	3.5	states/eV/cell
density	2497	kg/m³
total moment	0.00	μB/f.u.
E	-1.4652	eV per atom



Record 16
Material: BaRhAu2
Method: DFT, PBE
State: optimized geometry

Cell: 6.123 6.123 6.123 Å, 44.78 44.78 44.78°
Sites, in units of the cell vectors:
Rh (0.500, 0.500, 0.500)
Au (0.803, 0.803, 0.803)
Au (0.197, 0.197, 0.197)
Ba (0.000, 0.000, 0.000)

Results
energy relative to the elements	-0.33	eV/atom
energy above the lowest structure with this stoichiometry	8	meV/atom
DOS at the Fermi energy	3.5	states/eV/cell
density	10166	kg/m³
total moment	0.00	μB/f.u.
E	-4.2909	eV per atom